Mn2FeIr: relaxed, PBE.

Computed properties:
Offset from the most stable computed form: 175 meV/atom
Calculated volume: 50.9 Å³/f.u.

a = 4.928 Å, b = 4.928 Å, c = 4.928 Å
α = 146.10°, β = 129.66°, γ = 62.08°
Fractional positions:
Fe 0.497 0.497 0.000
Ir 0.751 0.251 0.500
Mn 0.001 0.001 0.000
Mn 0.250 0.750 0.500

***

Mn2FeIr: relaxed, PBE.

Computed properties:
Offset from the most stable computed form: 91 meV/atom
Calculated volume: 50.0 Å³/f.u.

a = 4.471 Å, b = 4.471 Å, c = 4.504 Å
α = 79.66°, β = 79.66°, γ = 34.44°
Fractional positions:
Fe 0.499 0.499 0.498
Ir 0.251 0.251 0.258
Mn 0.002 0.002 0.986
Mn 0.748 0.748 0.757

***

MnFe3Ir: relaxed, PBE.

Computed properties:
Offset from the most stable computed form: 150 meV/atom
Calculated volume: 99.3 Å³/f.u.

a = 4.631 Å, b = 4.631 Å, c = 4.631 Å
α = 90.00°, β = 90.00°, γ = 90.00°
Fractional positions:
Ir 0.000 0.000 0.000
Fe 0.000 0.500 0.000
Fe 0.000 0.000 0.500
Fe 0.500 0.000 0.000
Mn 0.500 0.500 0.500

***

MnFe2Ir: relaxed, PBE.

Computed properties:
VASP energy: -8.735 eV per atom
Calculated volume: 49.7 Å³/f.u.

a = 4.523 Å, b = 4.523 Å, c = 4.448 Å
α = 79.90°, β = 79.90°, γ = 33.76°
Fractional positions:
Fe 0.999 0.999 0.008
Fe 0.501 0.501 0.492
Ir 0.750 0.750 0.750
Mn 0.250 0.250 0.250

***

Mn2FeIr: relaxed, PBE.

Computed properties:
Offset from the most stable computed form: 141 meV/atom
Calculated volume: 50.9 Å³/f.u.

a = 2.916 Å, b = 4.179 Å, c = 4.179 Å
α = 90.00°, β = 90.00°, γ = 90.00°
Fractional positions:
Mn 0.500 0.000 0.000
Mn 0.500 0.500 0.500
Fe 0.000 0.000 0.500
Ir 0.000 0.500 0.000

***

Mn2Fe2Ir: relaxed, PBE.

Computed properties:
Offset from the most stable computed form: 55 meV/atom
Calculated volume: 57.4 Å³/f.u.

a = 6.673 Å, b = 6.673 Å, c = 2.577 Å
α = 90.00°, β = 90.00°, γ = 90.00°
Fractional positions:
Ir 0.000 0.000 0.000
Ir 0.500 0.500 0.000
Fe 0.175 0.675 0.500
Fe 0.675 0.825 0.500
Fe 0.825 0.325 0.500
Fe 0.325 0.175 0.500
Mn 0.380 0.880 0.000
Mn 0.880 0.620 0.000
Mn 0.620 0.120 0.000
Mn 0.120 0.380 0.000

***

MnFe2Ir: relaxed, PBE.

Computed properties:
VASP energy: -8.751 eV per atom
Calculated volume: 50.2 Å³/f.u.

a = 2.892 Å, b = 2.892 Å, c = 5.996 Å
α = 90.00°, β = 90.00°, γ = 90.00°
Fractional positions:
Ir 0.000 0.000 0.503
Fe 0.000 0.000 0.003
Fe 0.500 0.500 0.230
Mn 0.500 0.500 0.764

***

Mn2FeIr: relaxed, PBE.

Computed properties:
Offset from the most stable computed form: 181 meV/atom
Calculated volume: 49.9 Å³/f.u.

a = 2.896 Å, b = 2.896 Å, c = 5.953 Å
α = 90.00°, β = 90.00°, γ = 90.00°
Fractional positions:
Fe 0.000 0.000 0.479
Ir 0.500 0.500 0.750
Mn 0.000 0.000 0.019
Mn 0.500 0.500 0.252

***

- Which of these has the highest calculated volume?
  MnFe3Ir